Ag2AsPb: relaxed, PBE-GGA.

D(E_F) (states/eV per cell): 1.3
Final energy (eV per atom): -3.36
Formation energy from the elements (eV/atom): 0.1538

abc: 3.1994 3.9259 6.9474
angles: 90.00 90.00 90.00
Atoms (fractional coordinates):
Pb (0.5000, 0.5000, 0.7549)
Ag (0.0000, 0.0000, 0.0400)
Ag (0.5000, 0.5000, 0.2588)
As (0.0000, 0.0000, 0.4463)


AgAsPb2: relaxed, PBE-GGA.

D(E_F) (states/eV per cell): 1.1
Final energy (eV per atom): -3.62
Formation energy from the elements (eV/atom): 0.1095

abc: 3.6581 3.6582 7.6686
angles: 90.00 90.00 90.00
Atoms (fractional coordinates):
As (0.5000, 0.5000, 0.7148)
Pb (0.0000, 0.0000, 0.9436)
Pb (0.5000, 0.5000, 0.3056)
Ag (0.0000, 0.0000, 0.5360)


AgAsPb2: relaxed, PBE-GGA.

D(E_F) (states/eV per cell): 2.2
Final energy (eV per atom): -3.58
Formation energy from the elements (eV/atom): 0.1489

abc: 3.4453 3.8732 7.5564
angles: 90.00 90.00 90.00
Atoms (fractional coordinates):
Pb (0.0000, 0.0000, 0.5013)
Ag (0.5000, 0.5000, 0.2500)
Pb (0.0000, 0.0000, 0.9987)
As (0.5000, 0.5000, 0.7500)


Ag2AsPb: relaxed, PBE-GGA.

D(E_F) (states/eV per cell): 0.7
Final energy (eV per atom): -3.36
Formation energy from the elements (eV/atom): 0.1511

abc: 3.2321 3.8145 7.0314
angles: 90.00 90.00 90.00
Atoms (fractional coordinates):
Ag (0.0000, 0.0000, 0.0387)
As (0.5000, 0.5000, 0.2500)
Pb (0.5000, 0.5000, 0.7500)
Ag (0.0000, 0.0000, 0.4613)


AgAs2Pb: relaxed, PBE-GGA.

D(E_F) (states/eV per cell): 2.0
Final energy (eV per atom): -3.68
Formation energy from the elements (eV/atom): 0.2832

abc: 5.7358 5.7358 5.7358
angles: 142.32 128.30 65.72
Atoms (fractional coordinates):
Ag (0.7500, 0.2500, 0.5000)
As (0.9778, 0.9778, 0.0000)
As (0.5222, 0.5222, 0.0000)
Pb (0.2500, 0.7500, 0.5000)


Ag4AsPb: relaxed, PBE-GGA.

D(E_F) (states/eV per cell): 2.6
Final energy (eV per atom): -3.13
Formation energy from the elements (eV/atom): 0.1608

abc: 5.6272 5.6272 5.6272
angles: 60.00 60.00 60.00
Atoms (fractional coordinates):
Ag (0.8746, 0.3751, 0.3751)
Ag (0.3751, 0.3751, 0.8746)
Ag (0.3751, 0.8746, 0.3751)
As (0.7500, 0.7500, 0.7500)
Ag (0.3751, 0.3751, 0.3751)
Pb (0.0000, 0.0000, 0.0000)


Ag2AsPb: relaxed, PBE-GGA.

D(E_F) (states/eV per cell): 0.8
Final energy (eV per atom): -3.37
Formation energy from the elements (eV/atom): 0.1491

abc: 5.0251 5.0251 5.8965
angles: 80.67 80.67 37.25
Atoms (fractional coordinates):
As (0.4865, 0.4865, 0.5700)
Ag (0.7512, 0.7512, 0.7400)
Pb (0.2521, 0.2521, 0.2372)
Ag (0.0103, 0.0103, 0.9528)


AgAs2Pb: relaxed, PBE-GGA.

D(E_F) (states/eV per cell): 0.7
Final energy (eV per atom): -3.84
Formation energy from the elements (eV/atom): 0.1214

abc: 8.4307 8.4307 8.4307
angles: 25.25 25.25 25.25
Atoms (fractional coordinates):
As (0.2682, 0.2682, 0.2682)
Pb (0.4969, 0.4969, 0.4969)
As (0.9933, 0.9933, 0.9933)
Ag (0.7416, 0.7416, 0.7416)